Entry 1:
The following is a PBE calculation of BaAsPb2 after structural relaxation, from Alexandria.

The density of states at the Fermi level comes out at 3.29 states/eV/cell. The calculated formation energy is -0.26 eV per atom. Its total magnetization is 0.00 μB per atom.

a b c (Å): 9.4672 9.4672 9.4672
angles (deg): 26.24 26.24 26.24
Last column: nearest neighbours and their distance in Å.
Element x y z (fractional)
Pb  0.9925  0.9925  0.9925  3 Pb 3.58, 3 Ba 3.88
Pb  0.2315  0.2315  0.2315  3 As 2.93
As  0.5081  0.5081  0.5081  3 Pb 2.93, 3 Ba 3.20
Ba  0.7678  0.7678  0.7678  3 As 3.20



Entry 2:
The following is a PBE calculation of Ba2AsPb after structural relaxation, from Alexandria.

The density of states at the Fermi level comes out at 2.94 states/eV/cell. The calculated formation energy is -0.61 eV per atom. Its total magnetization is 0.24 μB per atom. The polymorph energy (0 for the lowest one) is 84 meV/atom.

a b c (Å): 4.5964 4.5964 9.8135
angles (deg): 76.40 76.40 60.08
Last column: nearest neighbours and their distance in Å.
Element x y z (fractional)
Pb  0.7500  0.7500  0.7500  6 Ba 3.92
As  0.2500  0.2500  0.2500  6 Ba 3.23
Ba  0.9817  0.9817  0.0557  3 As 3.23
Ba  0.5183  0.5183  0.4443  3 As 3.23



Which of these has the highest total magnetization? Ba2AsPb



Which formula does entry 2 have? Ba2AsPb



Number 2 is which compound? Ba2AsPb